(1)
This record from Alexandria via LeMat-Bulk describes La4TePSe2 after structural relaxation. The functional is PBE.

Lattice parameters (Å, degrees): 4.345 7.523 7.687 70.91 90.00 90.00
Positions (direct):
La (0.000, 0.756, 0.726)
La (0.000, 0.244, 0.274)
La (0.500, 0.742, 0.272)
La (0.500, 0.258, 0.728)
Te (0.500, 0.500, 0.000)
P (0.000, 0.500, 0.500)
Se (0.000, 0.000, 0.000)
Se (0.500, 0.000, 0.500)

Computed properties:
total moment = 0.00 μB per cell
raw formation energy = -1.815 eV per atom
E = -49.754 eV/f.u.

=====

(2)
This record from Alexandria via LeMat-Bulk describes La4Te2PSe after structural relaxation. The functional is PBE.

Lattice parameters (Å, degrees): 4.383 7.615 7.834 108.77 90.00 90.00
Positions (direct):
La (0.500, 0.230, 0.216)
La (0.500, 0.770, 0.784)
La (0.000, 0.250, 0.780)
La (0.000, 0.750, 0.220)
Te (0.500, 0.000, 0.500)
Te (0.000, 0.500, 0.500)
P (0.000, 0.000, 0.000)
Se (0.500, 0.500, 0.000)

Computed properties:
total moment = 0.00 μB per cell
raw formation energy = -1.744 eV per atom
E = -48.842 eV/f.u.

=====

The lowest raw formation energy belongs to which entry? La4TePSe2

=====

Which formula does entry 2 have? La4Te2PSe

=====

Repeat the first record exactly.
This record from Alexandria via LeMat-Bulk describes La4TePSe2 after structural relaxation. The functional is PBE.

Lattice parameters (Å, degrees): 4.345 7.523 7.687 70.91 90.00 90.00
Positions (direct):
La (0.000, 0.756, 0.726)
La (0.000, 0.244, 0.274)
La (0.500, 0.742, 0.272)
La (0.500, 0.258, 0.728)
Te (0.500, 0.500, 0.000)
P (0.000, 0.500, 0.500)
Se (0.000, 0.000, 0.000)
Se (0.500, 0.000, 0.500)

Computed properties:
total moment = 0.00 μB per cell
raw formation energy = -1.815 eV per atom
E = -49.754 eV/f.u.